Compound: La4Nd3In
Source: the Alexandria database
Functional: PBE
Structure: optimized geometry

**Energy relative to the elements**: -109 meV per atom
**DOS at the Fermi energy**: 10.3 states/eV/f.u.
**SG**: Pmn2_1

POSCAR file:
```
La4Nd3In
1.0
-2.9839 -2.0147 6.2254
-5.1299 -3.7017 -3.6568
5.9077 -8.3234 0.1379
In Nd La
2 6 8
Cartesian
-5.6493 -4.0073 0.1450
-0.1335 -6.3202 2.0486
-4.5756 -3.1633 5.0896
3.3161 -7.0100 1.5594
-0.6250 -9.7891 2.6013
-1.2036 -7.1616 -2.8935
-3.5784 -5.6281 2.5324
0.3619 -2.8477 1.4904
-7.1430 -5.0160 3.2519
-3.0850 -2.1568 1.9813
1.9063 -7.9551 4.4961
0.7863 -8.8429 -0.3343
-2.6931 -8.1673 0.2156
1.3534 -5.3164 -1.0632
-2.1735 -4.6727 -0.4034
-1.0415 -3.8020 4.4273
```



Compound: CsBi4Te6
Source: the Alexandria database
Functional: PBE
Structure: optimized geometry

**ΔE_f (raw)**: -0.19 eV/atom
**DOS at the Fermi energy**: 2.5 states/eV/f.u.
**SG**: I-42m

POSCAR file:
```
CsBi4Te6
1.0
8.5612 -0.3967 -0.5834
-4.3100 7.4078 0.5834
-4.3100 -2.1810 7.1034
Cs Bi Te
1 4 6
Cartesian
0.0000 0.0000 0.0000
-3.3327 0.3155 4.1314
1.7618 2.0209 2.9721
-3.3327 3.7260 1.8124
-3.7754 3.9944 5.8745
-5.8892 5.3522 4.0404
-5.8892 1.7896 6.4629
4.2509 0.4355 0.6405
2.1256 -1.2888 3.2600
-1.1514 2.4794 3.6464
2.1256 3.5055 0.0000
```



Compound: Sr2InTc
Source: the Alexandria database
Functional: PBE
Structure: optimized geometry

**Energy relative to the elements**: 447 meV per atom
**DOS at the Fermi energy**: 3.9 states/eV/f.u.
**SG**: Pmmm

POSCAR file:
```
Sr2InTc
1.0
-1.2555 3.0390 1.4574
-3.2048 -1.6032 0.5823
2.8305 -2.7158 8.1011
In Sr Tc
1 2 1
Cartesian
-0.1072 -1.3190 7.0957
0.0722 -0.0692 0.2065
1.3431 -1.2887 3.8441
-1.5225 0.0389 3.0451
```



Compound: OsSeSN2
Source: the Alexandria database
Functional: PBE
Structure: optimized geometry

**ΔE_f (raw)**: 0.75 eV/atom
**DOS at the Fermi energy**: 2.4 states/eV/f.u.
**SG**: P4/mmm

POSCAR file:
```
OsSeSN2
1.0
-1.1910 3.3315 1.2289
-3.0077 -0.2575 -2.2168
-2.8535 -2.5578 4.1687
S Os Se N
1 1 1 2
Cartesian
-3.5261 0.2581 1.5904
0.0000 0.0000 0.0000
-1.4268 -1.2789 2.0843
-1.5039 -0.1288 -1.1084
-0.5955 1.6657 0.6144
```



Compound: CuSb2SF
Source: the Alexandria database
Functional: PBE
Structure: optimized geometry

**ΔE_f (raw)**: 0.20 eV/atom
**DOS at the Fermi energy**: 2.2 states/eV/f.u.
**SG**: P4/mmm

POSCAR file:
```
CuSb2SF
1.0
-0.6751 2.6588 4.5561
-3.5662 0.9292 -1.0707
-1.8450 -4.4222 2.3072
Sb S Cu F
2 1 1 1
Cartesian
-0.9225 -2.2111 1.1536
-0.3375 1.3294 2.2781
0.0000 0.0000 0.0000
-3.0432 -0.4171 2.8963
-1.7831 0.4646 -0.5353
```



Compound: LiNdEuCo
Source: the Alexandria database
Functional: PBE
Structure: optimized geometry

**Energy relative to the elements**: 117 meV per atom
**DOS at the Fermi energy**: 4.2 states/eV/f.u.
**SG**: F-43m

POSCAR file:
```
LiNdEuCo
1.0
5.0418 0.0000 0.0000
2.5209 4.3663 0.0000
2.5209 1.4554 4.1166
Eu Co Nd Li
1 1 1 1
Cartesian
5.0418 2.9109 2.0583
2.5209 1.4554 1.0291
0.0000 0.0000 0.0000
7.5627 4.3663 3.0874
```



Compound: Ca4DyPa3P8
Source: the Alexandria database
Functional: PBE
Structure: optimized geometry

**Energy relative to the elements**: -1300 meV per atom
**DOS at the Fermi energy**: 11.0 states/eV/f.u.
**SG**: R-3m

POSCAR file:
```
Ca4DyPa3P8
1.0
8.1207 0.0000 0.0000
0.0000 8.1110 -0.0132
-4.0604 -4.0561 5.7454
Ca Dy Pa P
4 1 3 8
Cartesian
4.0604 0.0000 0.0000
2.0302 -2.0280 2.8727
0.0000 0.0000 0.0000
-2.0302 -2.0280 2.8727
0.0000 4.0555 -0.0066
4.0604 4.0555 -0.0066
2.0302 2.0274 2.8661
-2.0302 2.0274 2.8661
-1.9897 1.9332 5.6406
0.0000 3.9210 2.8255
0.0000 0.1050 2.9437
1.9897 1.9332 5.6406
2.0707 2.1216 0.0916
4.0604 3.9499 2.7885
4.0604 0.1339 2.9066
6.0501 2.1216 0.0916
```